TlInCu2 after structural relaxation. Source: Alexandria, functional PBE.

Calculated values
Calculated formation energy   1.13 eV per formula unit
Crystal system   trigonal
Density of states at the Fermi level   1.755 states/eV per cell
E   -3.0407 eV per atom

Cell: 8.377 8.377 8.377 Å, 23.01 23.01 23.01°
Element x y z (fractional)
Tl  0.000  0.000  0.000
In  0.500  0.500  0.500
Cu  0.247  0.247  0.247
Cu  0.753  0.753  0.753